(1)
Cs2Sm2O5 | GGA-PBE | relaxed

It has space group P4/mmm (No. 123), with a = 4.465 Å, b = 4.465 Å, c = 9.836 Å, α = 90.00°, β = 90.00° and γ = 90.00°. Symmetry generates all atoms from Cs at (0.000, 0.000, 0.000), Cs at (0.000, 0.000, 0.500), Sm at (0.500, 0.500, 0.222), O at (0.000, 0.500, 0.279) and O at (0.500, 0.500, 0.000).

The calculated density comes out at 5.47 Mg/m³. The value obtained for the total energy is -6.10 eV/atom.


(2)
MgFeIrPb | GGA-PBE | relaxed

It has space group F-43m (No. 216), with a = 6.458 Å, b = 6.458 Å, c = 6.458 Å, α = 90.00°, β = 90.00° and γ = 90.00°. Symmetry generates all atoms from Mg at (0.000, 0.000, 0.000), Fe at (0.250, 0.250, 0.750), Ir at (0.250, 0.250, 0.250) and Pb at (0.000, 0.000, 0.500).

The calculated density comes out at 11.83 Mg/m³. The value obtained for the total energy is -5.35 eV/atom.


(3)
LuCdCuAg | GGA-PBE | relaxed

It has space group F-43m (No. 216), with a = 6.727 Å, b = 6.727 Å, c = 6.727 Å, α = 90.00°, β = 90.00° and γ = 90.00°. Symmetry generates all atoms from Lu at (0.000, 0.000, 0.000), Cd at (0.000, 0.000, 0.500), Cu at (0.250, 0.250, 0.250) and Ag at (0.250, 0.250, 0.750).

The formation enthalpy at 0 K is -224 meV per atom. The calculated density comes out at 10.01 Mg/m³.


(4)
Lu3ScPb2C2 | GGA-PBE | relaxed

It has space group P3m1 (No. 156), with a = 3.5177 Å, b = 3.5177 Å, c = 15.5318 Å, α = 90.00°, β = 90.00° and γ = 120.00°. Symmetry generates all atoms from Lu at (0.0000, 0.0000, 0.0000), Lu at (0.0000, 0.0000, 0.3394), Lu at (0.3333, 0.6667, 0.5047), Sc at (0.3333, 0.6667, 0.8414), Pb at (0.0000, 0.0000, 0.6764), Pb at (0.3333, 0.6667, 0.1699), C at (0.6667, 0.3333, 0.4219) and C at (0.6667, 0.3333, 0.9175).

The calculated density comes out at 10.06 Mg/m³. The value obtained for the total energy is -6.28 eV/atom.


(5)
Sr2ZrPtS6 | GGA-PBE | relaxed

It has space group P-1 (No. 2), with a = 6.603 Å, b = 6.685 Å, c = 6.709 Å, α = 63.31°, β = 63.02° and γ = 63.54°. Symmetry generates all atoms from Sr at (0.249, 0.234, 0.247), Zr at (0.500, 0.500, 0.500), Pt at (0.000, 0.000, 0.000), S at (0.151, 0.334, 0.765), S at (0.256, 0.838, 0.678) and S at (0.324, 0.776, 0.164).

The calculated density comes out at 4.83 Mg/m³. The value obtained for the total energy is -5.53 eV/atom.


(6)
CsPdCl3 | GGA-PBE | relaxed

It has space group Ibam (No. 72), with a = 10.651 Å, b = 13.837 Å, c = 8.649 Å, α = 90.00°, β = 90.00° and γ = 90.00°. Symmetry generates all atoms from Cs at (0.000, 0.176, 0.250), Pd at (0.146, 0.449, 0.000), Cl at (0.063, 0.395, 0.500), Cl at (0.151, 0.005, 0.000) and Cl at (0.220, 0.292, 0.000).

The calculated density comes out at 3.60 Mg/m³. The value obtained for the total energy is -3.43 eV/atom.


(7)
Hf6CoSb2 | GGA-PBE | relaxed

It has space group P-62m (No. 189), with a = 7.7331 Å, b = 7.7331 Å, c = 3.5729 Å, α = 90.00°, β = 90.00° and γ = 120.00°. Symmetry generates all atoms from Hf at (0.0000, 0.2392, 0.0000), Hf at (0.0000, 0.6020, 0.5000), Co at (0.0000, 0.0000, 0.5000) and Sb at (0.3333, 0.6667, 0.0000).

The calculated density comes out at 12.32 Mg/m³. The value obtained for the total energy is -8.83 eV/atom.


(8)
Nd2AlCo2 | GGA-PBE | relaxed

It has space group Immm (No. 71), with a = 4.092 Å, b = 5.595 Å, c = 8.649 Å, α = 90.00°, β = 90.00° and γ = 90.00°. Symmetry generates all atoms from Nd at (0.000, 0.000, 0.201), Al at (0.000, 0.500, 0.000) and Co at (0.000, 0.263, 0.500).

The calculated density comes out at 7.27 Mg/m³. The value obtained for the total energy is -5.75 eV/atom.


(9)
ScFePdPb | GGA-PBE | relaxed

It has space group F-43m (No. 216), with a = 6.548 Å, b = 6.548 Å, c = 6.548 Å, α = 90.00°, β = 90.00° and γ = 90.00°. Symmetry generates all atoms from Sc at (0.000, 0.000, 0.000), Fe at (0.000, 0.000, 0.500), Pd at (0.250, 0.250, 0.750) and Pb at (0.250, 0.250, 0.250).

The calculated density comes out at 9.81 Mg/m³. The value obtained for the total energy is -5.98 eV/atom.


(10)
BeZnCdFe | GGA-PBE | relaxed

It has space group F-43m (No. 216), with a = 6.000 Å, b = 6.000 Å, c = 6.000 Å, α = 90.00°, β = 90.00° and γ = 90.00°. Symmetry generates all atoms from Be at (0.000, 0.000, 0.000), Zn at (0.000, 0.000, 0.500), Cd at (0.250, 0.250, 0.250) and Fe at (0.250, 0.250, 0.750).

The calculated density comes out at 7.46 Mg/m³. The value obtained for the total energy is -3.24 eV/atom.


(11)
LiNiAgMo | GGA-PBE | relaxed

It has space group F-43m (No. 216), with a = 5.999 Å, b = 5.999 Å, c = 5.999 Å, α = 90.00°, β = 90.00° and γ = 90.00°. Symmetry generates all atoms from Li at (0.000, 0.000, 0.000), Ni at (0.000, 0.000, 0.500), Ag at (0.250, 0.250, 0.250) and Mo at (0.250, 0.250, 0.750).

The calculated density comes out at 8.29 Mg/m³. The value obtained for the total energy is -4.97 eV/atom.


(12)
HoTlZn | GGA-PBE | relaxed

It has space group F-43m (No. 216), with a = 6.950 Å, b = 6.950 Å, c = 6.950 Å, α = 90.00°, β = 90.00° and γ = 90.00°. Symmetry generates all atoms from Ho at (0.000, 0.000, 0.000), Tl at (0.250, 0.250, 0.750) and Zn at (0.250, 0.250, 0.250).

The calculated density comes out at 8.60 Mg/m³. The value obtained for the total energy is -2.59 eV/atom.


Question: Which value of calculated density does entry 8 give?
Answer: 7.27 Mg/m³


Question: What is the formula in the twelfth record?
Answer: HoTlZn